First-principles (PBE) data for crystalline Ac3PtAuCl at its relaxed geometry, as listed in Alexandria.

```
Ac3PtAuCl
1.0
8.821 0.000 0.000
0.000 4.490 0.000
-2.306 0.000 9.815
Ac Pt Au Cl
6 2 2 2
Direct
0.068 0.250 0.342
0.210 0.250 0.981
0.402 0.750 0.629
0.598 0.250 0.371
0.790 0.750 0.019
0.932 0.750 0.658
0.169 0.250 0.653
0.831 0.750 0.347
0.304 0.750 0.275
0.696 0.250 0.725
0.404 0.750 0.917
0.596 0.250 0.083
```

Summary:
uncorrected formation energy = -1.104 eV per atom
E_tot = -5.0186 eV/atom